Record 1
# YSiCl2

A relaxed YSiCl2 crystal (GGA-PBEsol, Alexandria).

As for the distance to the lowest polymorph of the same formula: 46.1 meV per atom. For the density of states at the Fermi level, the calculation gives 11.30 states/eV per cell. As for the total energy: -4.9370 eV/atom. The value obtained for the magnetic moment is 0.11 μB/f.u. The calculation puts the formation energy (no corrections) at -791 meV/atom.

The space group is R3m (No. 160, hexagonal axes) and the conventional cell measures 3.3844, 3.3844 and 27.2274 Å, with angles of 90.00, 90.00 and 120.00 degrees. The asymmetric unit holds Y at (0.0000, 0.0000, 0.0000), Si at (0.0000, 0.0000, 0.7470), Cl at (0.0000, 0.0000, 0.2667) and Cl at (0.0000, 0.0000, 0.4781).

***

Record 2
# CdP2RhCl

A relaxed CdP2RhCl crystal (GGA-PBEsol, Alexandria).

For the density of states at the Fermi level, the calculation gives 3.55 states/eV per cell. As for the total energy: -4.3081 eV/atom. The value obtained for the magnetic moment is 0.00 μB/f.u. The calculation puts the formation energy (no corrections) at 277 meV/atom.

The space group is P4/mmm (No. 123) and the conventional cell measures 4.504, 4.504 and 4.996 Å, with angles of 90.00, 90.00 and 90.00 degrees. The asymmetric unit holds Cd at (0.000, 0.000, 0.000), P at (0.000, 0.500, 0.500), Rh at (0.500, 0.500, 0.500) and Cl at (0.500, 0.500, 0.000).

***

Record 3
# TlHg4Br

A relaxed TlHg4Br crystal (GGA-PBEsol, Alexandria).

For the density of states at the Fermi level, the calculation gives 10.07 states/eV per cell. As for the total energy: -1.2473 eV/atom. The value obtained for the magnetic moment is 0.00 μB/f.u. The calculation puts the formation energy (no corrections) at -119 meV/atom.

The space group is F-43m (No. 216) and the conventional cell measures 8.678, 8.678 and 8.678 Å, with angles of 90.00, 90.00 and 90.00 degrees. The asymmetric unit holds Tl at (0.000, 0.000, 0.000), Hg at (0.125, 0.125, 0.375) and Br at (0.250, 0.250, 0.750).